A PBEsol-optimized structure of ReMoRh. Source: Alexandria, functional SCAN.

Summary:
Symmetry: P-6m2 (187)
ΔE_f (eV/atom): 0.08
DOS at the Fermi energy (states/eV/atom): 0.623

Lattice parameters (Å, degrees): 2.6476 4.3782 4.3782 120.00 90.00 90.00
Fractional positions:
Rh (0.3334, 0.6667, 0.3333)
Re (0.8337, 0.3333, 0.6667)
Mo (0.8329, 0.0000, 0.0000)